1.
DFT (meta-GGA SCAN) results for a PBEsol-optimized structure of ZnInRh2.

Calculated values
The calculation puts the total energy at -116.27 eV per formula unit. For the energy relative to the elements, the calculation gives -0.457 eV per atom. The value obtained for the density of states at the Fermi level is 1.13 states/eV per cell. As for the space-group type: Fm-3m.

a b c (Å): 4.3580 4.3580 4.3580
angles (deg): 60.00 60.00 60.00
Positions (direct):
Zn 0.0000 0.0000 0.0000
In 0.5000 0.5000 0.5000
Rh 0.2500 0.2500 0.2500
Rh 0.7500 0.7500 0.7500


2.
DFT (meta-GGA SCAN) results for a PBEsol-optimized structure of Zn2InRh.

Calculated values
The calculation puts the total energy at -95.27 eV per formula unit. For the energy relative to the elements, the calculation gives -0.270 eV per atom. The value obtained for the density of states at the Fermi level is 1.26 states/eV per cell. As for the space-group type: I-4m2.

a b c (Å): 4.9025 4.9025 4.9025
angles (deg): 133.96 133.96 67.15
Positions (direct):
Zn 0.0000 0.0000 0.0000
Zn 0.7500 0.2500 0.5000
In 0.5000 0.5000 0.0000
Rh 0.2500 0.7500 0.5000


3.
DFT (meta-GGA SCAN) results for a PBEsol-optimized structure of Zn2InRh.

Calculated values
The calculation puts the total energy at -94.94 eV per formula unit. For the energy relative to the elements, the calculation gives -0.188 eV per atom. The value obtained for the density of states at the Fermi level is 1.26 states/eV per cell. As for the space-group type: Amm2.

a b c (Å): 4.1497 5.2672 5.2672
angles (deg): 33.28 90.00 90.00
Positions (direct):
Zn 0.0000 0.0000 0.0000
Zn 0.5000 0.4160 0.4160
In 0.0000 0.7387 0.7387
Rh 0.5000 0.1406 0.1406


4.
DFT (meta-GGA SCAN) results for a PBEsol-optimized structure of ZnInRh2.

Calculated values
The calculation puts the total energy at -115.26 eV per formula unit. For the energy relative to the elements, the calculation gives -0.205 eV per atom. The value obtained for the density of states at the Fermi level is 3.84 states/eV per cell. As for the space-group type: Imm2.

a b c (Å): 5.2627 5.2627 5.2627
angles (deg): 146.42 131.55 60.24
Positions (direct):
Zn 0.0000 0.0000 0.0000
In 0.2591 0.7591 0.5000
Rh 0.5161 0.5161 0.0000
Rh 0.7714 0.2714 0.5000


5.
DFT (meta-GGA SCAN) results for a PBEsol-optimized structure of ZnInRh2.

Calculated values
The calculation puts the total energy at -115.55 eV per formula unit. For the energy relative to the elements, the calculation gives -0.276 eV per atom. The value obtained for the density of states at the Fermi level is 3.20 states/eV per cell. As for the space-group type: Cm.

a b c (Å): 5.0535 5.0535 4.5179
angles (deg): 109.59 109.59 33.61
Positions (direct):
Zn 0.0000 0.0000 0.0000
In 0.2331 0.2331 0.6018
Rh 0.4841 0.4841 0.4923
Rh 0.7429 0.7429 0.1012


6.
DFT (meta-GGA SCAN) results for a PBEsol-optimized structure of Zn2InRh.

Calculated values
The calculation puts the total energy at -95.23 eV per formula unit. For the energy relative to the elements, the calculation gives -0.260 eV per atom. The value obtained for the density of states at the Fermi level is 1.12 states/eV per cell. As for the space-group type: I4/mmm.

a b c (Å): 4.9565 4.9565 4.9565
angles (deg): 134.83 134.83 65.79
Positions (direct):
Zn 0.2500 0.7500 0.5000
Zn 0.7500 0.2500 0.5000
In 0.0000 0.0000 0.0000
Rh 0.5000 0.5000 0.0000